Material: SrMo4Au
Method: DFT, GGA-PBE
State: relaxed

The structure in extended XYZ format:
```
6
Lattice="0.000 3.852 3.852 3.852 0.000 3.852 3.852 3.852 0.000" Properties=species:S:1:pos:R:3 pbc="T T T"
Sr 0.000 0.000 0.000
Mo 2.884 2.884 2.884
Mo 4.821 4.821 2.884
Mo 4.821 2.884 4.821
Mo 2.884 4.821 4.821
Au 5.779 5.779 5.779
```

Energy relative to the elements   3.79 eV per formula unit
Calculated volume   19.06 A^3/atom
Space-group type   F-43m, No. 216
VASP energy   -44.50 eV/cell

Material: SrMoAu2
Method: DFT, GGA-PBE
State: relaxed

The structure in extended XYZ format:
```
16
Lattice="7.007 0.000 0.000 0.000 7.007 0.000 0.000 0.000 7.007" Properties=species:S:1:pos:R:3 pbc="T T T"
Sr 0.000 0.000 0.000
Sr 0.000 3.504 3.504
Sr 3.504 0.000 3.504
Sr 3.504 3.504 0.000
Mo 1.752 1.752 1.752
Mo 1.752 5.255 5.255
Mo 5.255 1.752 5.255
Mo 5.255 5.255 1.752
Au 0.000 0.000 3.504
Au 0.000 3.504 0.000
Au 1.752 1.752 5.255
Au 1.752 5.255 1.752
Au 3.504 0.000 0.000
Au 3.504 3.504 3.504
Au 5.255 1.752 1.752
Au 5.255 5.255 5.255
```

Energy relative to the elements   1.85 eV per formula unit
Calculated volume   21.50 A^3/atom
Space-group type   F-43m, No. 216
VASP energy   -68.87 eV/cell

Material: SrMoAu2
Method: DFT, GGA-PBE
State: relaxed

The structure in extended XYZ format:
```
4
Lattice="3.154 0.000 0.000 0.000 5.076 0.000 -0.003 0.000 5.249" Properties=species:S:1:pos:R:3 pbc="T T T"
Sr 0.000 0.000 0.000
Mo 0.004 2.538 2.945
Au 1.575 0.000 2.657
Au 1.577 2.538 0.540
```

Energy relative to the elements   0.69 eV per formula unit
Calculated volume   21.01 A^3/atom
Space-group type   Pm, No. 6
VASP energy   -18.38 eV/cell

Material: SrTa2MoAu
Method: DFT, GGA-PBE
State: relaxed

The structure in extended XYZ format:
```
5
Lattice="4.874 0.000 0.000 0.000 4.874 0.000 0.000 0.000 4.667" Properties=species:S:1:pos:R:3 pbc="T T T"
Sr 0.000 0.000 0.000
Ta 0.000 2.437 0.000
Ta 2.437 0.000 0.000
Mo 0.000 0.000 2.333
Au 2.437 2.437 2.333
```

Energy relative to the elements   14.25 eV per formula unit
Calculated volume   22.17 A^3/atom
Space-group type   P4/mmm, No. 123
VASP energy   -25.25 eV/cell

Material: SrV2MoAu
Method: DFT, GGA-PBE
State: relaxed

The structure in extended XYZ format:
```
5
Lattice="4.498 0.000 0.000 0.000 4.498 0.000 0.000 0.000 4.730" Properties=species:S:1:pos:R:3 pbc="T T T"
Sr 0.000 0.000 0.000
V 0.000 2.249 0.000
V 2.249 0.000 0.000
Mo 0.000 0.000 2.365
Au 2.249 2.249 2.365
```

Energy relative to the elements   12.58 eV per formula unit
Calculated volume   19.14 A^3/atom
Space-group type   P4/mmm, No. 123
VASP energy   -21.45 eV/cell

Material: Sr2ZnMoAu
Method: DFT, GGA-PBE
State: relaxed

The structure in extended XYZ format:
```
5
Lattice="5.989 0.000 0.000 0.000 5.989 0.000 0.000 0.000 4.862" Properties=species:S:1:pos:R:3 pbc="T T T"
Sr 0.000 2.994 0.000
Sr 2.994 0.000 0.000
Zn 0.000 0.000 2.431
Mo 2.994 2.994 2.431
Au 0.000 0.000 0.000
```

Energy relative to the elements   2.84 eV per formula unit
Calculated volume   34.88 A^3/atom
Space-group type   P4/mmm, No. 123
VASP energy   -15.91 eV/cell

Please write out number 5 again, unchanged.
Material: SrV2MoAu
Method: DFT, GGA-PBE
State: relaxed

The structure in extended XYZ format:
```
5
Lattice="4.498 0.000 0.000 0.000 4.498 0.000 0.000 0.000 4.730" Properties=species:S:1:pos:R:3 pbc="T T T"
Sr 0.000 0.000 0.000
V 0.000 2.249 0.000
V 2.249 0.000 0.000
Mo 0.000 0.000 2.365
Au 2.249 2.249 2.365
```

Energy relative to the elements   12.58 eV per formula unit
Calculated volume   19.14 A^3/atom
Space-group type   P4/mmm, No. 123
VASP energy   -21.45 eV/cell

Number 5 is which compound?
SrV2MoAu

Repeat the fifth record exactly.
Material: SrV2MoAu
Method: DFT, GGA-PBE
State: relaxed

The structure in extended XYZ format:
```
5
Lattice="4.498 0.000 0.000 0.000 4.498 0.000 0.000 0.000 4.730" Properties=species:S:1:pos:R:3 pbc="T T T"
Sr 0.000 0.000 0.000
V 0.000 2.249 0.000
V 2.249 0.000 0.000
Mo 0.000 0.000 2.365
Au 2.249 2.249 2.365
```

Energy relative to the elements   12.58 eV per formula unit
Calculated volume   19.14 A^3/atom
Space-group type   P4/mmm, No. 123
VASP energy   -21.45 eV/cell

Look up the VASP energy of the third one.
-18.38 eV/cell